Mn2OsSe | the Alexandria database | meta-GGA SCAN | PBEsol geometry; final energy = -2.3294 Ry/atom; E_form (uncorrected) = 0.42 eV per atom; DOS(E_F) = 2.9 states/eV per cell
1.0
1.4496 -2.2509 0.0000
1.4496 2.2509 0.0000
0.0000 0.0000 8.7006
Mn Os Se
2 1 1
Direct
0.0000 0.0000 0.0000
0.5000 0.5000 0.2306
0.0000 0.0000 0.4555
0.5000 0.5000 0.7778


MnOsSe2 | the Alexandria database | meta-GGA SCAN | PBEsol geometry; final energy = -2.3778 Ry/atom; E_form (uncorrected) = 0.22 eV per atom; DOS(E_F) = 1.2 states/eV per cell; ΔE to the lowest computed polymorph = 0.00 eV per formula unit
1.0
4.3215 0.0000 0.0000
0.0000 3.8019 0.0000
-1.0766 0.0000 4.4040
Mn Os Se
1 1 2
Direct
0.0000 0.0000 0.0000
0.5000 0.0000 0.5000
0.2943 0.5000 0.7315
0.7057 0.5000 0.2685


MnOs2Se | the Alexandria database | meta-GGA SCAN | PBEsol geometry; final energy = -3.2990 Ry/atom; E_form (uncorrected) = 0.64 eV per atom; DOS(E_F) = 4.0 states/eV per cell
1.0
1.3882 -2.3187 0.0000
1.3882 2.3187 0.0000
0.0000 0.0000 9.0677
Mn Os Se
1 2 1
Direct
0.0000 0.0000 0.0000
0.5000 0.5000 0.2266
0.5000 0.5000 0.7734
0.0000 0.0000 0.5000


MnOsSe3 | the Alexandria database | meta-GGA SCAN | PBEsol geometry; final energy = -2.1233 Ry/atom; E_form (uncorrected) = 1.18 eV per atom; DOS(E_F) = 3.3 states/eV per cell
1.0
4.4898 0.0000 0.0000
0.0000 4.4898 0.0000
0.0000 0.0000 4.4898
Mn Os Se
1 1 3
Direct
0.0000 0.0000 0.0000
0.5000 0.5000 0.5000
0.0000 0.0000 0.5000
0.0000 0.5000 0.0000
0.5000 0.0000 0.0000


MnOsSe2 | the Alexandria database | meta-GGA SCAN | PBEsol geometry; final energy = -2.3589 Ry/atom; E_form (uncorrected) = 0.48 eV per atom; DOS(E_F) = 2.4 states/eV per cell; ΔE to the lowest computed polymorph = 1.03 eV per formula unit
1.0
0.0000 3.0397 3.9878
2.7173 0.0000 3.9878
2.7173 3.0397 0.0000
Mn Os Se
1 1 2
Direct
0.0000 0.0000 0.0000
0.5000 0.5000 0.5000
0.0000 0.5000 0.5000
0.5000 0.0000 0.0000


MnSi2Os | the Alexandria database | meta-GGA SCAN | PBEsol geometry; final energy = -2.0170 Ry/atom; E_form (uncorrected) = 0.10 eV per atom; DOS(E_F) = 2.0 states/eV per cell
1.0
0.0000 2.9532 2.9532
2.9532 0.0000 2.9532
2.9532 2.9532 0.0000
Mn Si Os
1 2 1
Direct
0.0000 0.0000 0.0000
0.5000 0.5000 0.5000
0.7500 0.7500 0.7500
0.2500 0.2500 0.2500


MnSi2Os | the Alexandria database | meta-GGA SCAN | PBEsol geometry; final energy = -2.0535 Ry/atom; E_form (uncorrected) = -0.40 eV per atom; DOS(E_F) = 2.5 states/eV per cell
1.0
2.8592 0.0000 0.0000
0.0000 2.8592 0.0000
0.0000 0.0000 5.6888
Mn Si Os
1 2 1
Direct
0.0000 0.0000 0.0000
0.5000 0.5000 0.2301
0.5000 0.5000 0.7699
0.0000 0.0000 0.5000


MnSi2Os | the Alexandria database | meta-GGA SCAN | PBEsol geometry; final energy = -2.0522 Ry/atom; E_form (uncorrected) = -0.38 eV per atom; DOS(E_F) = 2.4 states/eV per cell
1.0
4.2476 -1.4214 0.0000
4.2476 1.4214 0.0000
-1.2832 0.0000 4.0102
Mn Si Os
1 2 1
Direct
0.0000 0.0000 0.0000
0.2577 0.2577 0.8814
0.5037 0.5037 0.5293
0.7563 0.7563 0.3837


MnSi2Os | the Alexandria database | meta-GGA SCAN | PBEsol geometry; final energy = -2.0403 Ry/atom; E_form (uncorrected) = -0.22 eV per atom; DOS(E_F) = 2.1 states/eV per cell
1.0
3.8902 -1.3763 0.0000
3.8902 1.3763 0.0000
-0.9186 0.0000 4.5901
Mn Si Os
1 2 1
Direct
0.0000 0.0000 0.0000
0.2515 0.2515 0.7657
0.7485 0.7485 0.2343
0.5000 0.5000 0.5000


MnSi2Os | the Alexandria database | meta-GGA SCAN | PBEsol geometry; final energy = -2.0270 Ry/atom; E_form (uncorrected) = -0.04 eV per atom; DOS(E_F) = 2.2 states/eV per cell
1.0
2.7462 0.0000 0.0000
0.0000 3.7783 0.0000
-0.1879 0.0000 4.8316
Mn Si Os
1 2 1
Direct
0.0000 0.0000 0.0000
0.1785 0.5000 0.7565
0.8215 0.5000 0.2435
0.5000 0.0000 0.5000


Mn2SiOs | the Alexandria database | meta-GGA SCAN | PBEsol geometry; final energy = -2.1680 Ry/atom; E_form (uncorrected) = 0.10 eV per atom; DOS(E_F) = 3.3 states/eV per cell
1.0
1.4237 -2.2341 0.0000
1.4237 2.2341 0.0000
0.0000 0.0000 7.7979
Mn Si Os
2 1 1
Direct
0.0000 0.0000 0.0000
0.5000 0.5000 0.2441
0.0000 0.0000 0.4745
0.5000 0.5000 0.7282


Mn2SiOs | the Alexandria database | meta-GGA SCAN | PBEsol geometry; final energy = -2.2098 Ry/atom; E_form (uncorrected) = -0.47 eV per atom; DOS(E_F) = 1.1 states/eV per cell
1.0
0.0000 2.8707 2.8707
2.8707 0.0000 2.8707
2.8707 2.8707 0.0000
Mn Si Os
2 1 1
Direct
0.0000 0.0000 0.0000
0.2500 0.2500 0.2500
0.7500 0.7500 0.7500
0.5000 0.5000 0.5000